Density functional theory data (PBE) for a geometry-optimized SrDyAl2 structure.

distance to the lowest polymorph of the same formula = 0 meV per atom
M_tot = 0.0 μB/cell
energy of formation from the pure elements = -0.24 eV/atom
space-group type = P4/mmm

Cell and atoms, written as extended XYZ:
```
4
Lattice="3.7549 0.0000 0.0000 0.0000 3.7549 0.0000 0.0000 0.0000 7.5787" Properties=species:S:1:pos:R:3 pbc="T T T"
Sr 1.8775 1.8775 3.7894
Dy 1.8775 1.8775 0.0000
Al 0.0000 0.0000 1.6195
Al 0.0000 0.0000 5.9592
```